Here is Sr2TlSn3Au4 after structural relaxation from Alexandria via LeMat-Bulk. Energies are from PBE-GGA.

Geometry as CIF:
```
data_Sr2TlSn3Au4
_cell_length_a 4.735
_cell_length_b 4.735
_cell_length_c 11.708
_cell_angle_alpha 90.00
_cell_angle_beta 90.00
_cell_angle_gamma 90.00
_space_group_name_H-M_alt 'P 1'
_space_group_IT_number 1
_space_group_name_Hall 'P 1'
loop_
_atom_site_label
_atom_site_type_symbol
_atom_site_fract_x
_atom_site_fract_y
_atom_site_fract_z
_atom_site_occupancy
Sr1 Sr 0.000 0.500 0.238 1
Sr2 Sr 0.500 0.000 0.762 1
Tl1 Tl 0.000 0.000 0.500 1
Sn1 Sn 0.000 0.500 0.874 1
Sn2 Sn 0.500 0.000 0.126 1
Sn3 Sn 0.500 0.500 0.500 1
Au1 Au 0.000 0.000 0.000 1
Au2 Au 0.000 0.500 0.644 1
Au3 Au 0.500 0.000 0.356 1
Au4 Au 0.500 0.500 0.000 1
```

Results
The density of states at the Fermi level is 4.4 states/eV/cell. For the uncorrected energy, the calculation gives -3.59 eV/atom. For the energy relative to the elements, the calculation gives -5.1 eV/f.u.